A geometry-optimized CsAgSb structure. Source: the Alexandria database, functional PBE.

Lattice parameters (Å, degrees): 4.7216 4.7216 6.0895 90.00 90.00 120.00
Space group P-6m2 (No. 187)
Symmetry-distinct sites (fractional):
Cs  0.0000  0.0000  0.0000
Ag  0.3333  0.6667  0.5000
Sb  0.6667  0.3333  0.5000

Properties
E_tot: -2.82 eV/atom
Energy above the lowest structure with this stoichiometry: 0.0 meV/atom
Formation energy (no corrections): -0.62 eV/f.u.
Crystal system: hexagonal